## P
Computed, not measured: an optimized crystal structure of Cu2BiS3 at the PBE level of DFT.

a b c (Å): 5.004 7.322 7.322
angles (deg): 115.19 90.00 90.00
Fractional positions:
S 0.750 0.150 0.429
S 0.250 0.850 0.571
S 0.250 0.887 0.113
S 0.750 0.113 0.887
S 0.750 0.571 0.850
S 0.250 0.429 0.150
Cu 0.500 0.815 0.815
Cu 0.500 0.185 0.185
Cu 0.000 0.815 0.815
Cu 0.000 0.185 0.185
Bi 0.750 0.738 0.262
Bi 0.250 0.262 0.738

Calculated values
mass density: 5.91 Mg/m³
crystal system: orthorhombic



## Q
Computed, not measured: an optimized crystal structure of Cu2BiS3 at the PBE level of DFT.

a b c (Å): 6.566 6.566 13.285
angles (deg): 99.46 99.46 109.58
Fractional positions:
S 0.122 0.095 0.160
S 0.218 0.626 0.355
S 0.480 0.387 0.855
S 0.036 0.435 0.960
S 0.712 0.185 0.340
S 0.613 0.520 0.145
S 0.905 0.878 0.840
S 0.815 0.288 0.660
S 0.565 0.964 0.040
S 0.275 0.174 0.460
S 0.826 0.725 0.540
S 0.374 0.782 0.645
Cu 0.418 0.582 0.000
Cu 0.168 0.832 0.500
Cu 0.656 0.344 0.500
Cu 0.759 0.929 0.680
Cu 0.829 0.500 0.820
Cu 0.071 0.241 0.320
Cu 0.500 0.171 0.180
Cu 0.906 0.094 0.000
Bi 0.642 0.767 0.350
Bi 0.334 0.958 0.850
Bi 0.233 0.358 0.650
Bi 0.042 0.666 0.150

Calculated values
mass density: 5.55 Mg/m³
crystal system: orthorhombic



Calculated relative energies: P 7.5; Q 0.0, given in kJ/mol of atoms



## P
Computed, not measured: an optimized crystal structure of Cu2BiSb2 at the PBE level of DFT.

a b c (Å): 7.705 7.705 3.618
angles (deg): 90.00 90.00 90.00
Fractional positions:
Cu 0.882 0.618 0.000
Cu 0.618 0.118 0.000
Cu 0.118 0.382 0.000
Cu 0.382 0.882 0.000
Bi 0.000 0.000 0.000
Bi 0.500 0.500 0.000
Sb 0.667 0.833 0.500
Sb 0.167 0.667 0.500
Sb 0.833 0.333 0.500
Sb 0.333 0.167 0.500

Calculated values
mass density: 8.96 Mg/m³
crystal system: tetragonal



## Q
Computed, not measured: an optimized crystal structure of Cu2BiSb2 at the PBE level of DFT.

a b c (Å): 3.702 3.702 8.684
angles (deg): 77.69 77.69 90.00
Fractional positions:
Bi 0.000 0.000 0.000
Cu 0.250 0.750 0.500
Cu 0.750 0.250 0.500
Sb 0.368 0.368 0.263
Sb 0.632 0.632 0.737

Calculated values
mass density: 8.48 Mg/m³
crystal system: tetragonal



## R
Computed, not measured: an optimized crystal structure of Cu2BiSb2 at the PBE level of DFT.

a b c (Å): 8.378 8.378 3.231
angles (deg): 90.00 90.00 90.00
Fractional positions:
Sb 0.672 0.172 0.000
Sb 0.328 0.828 0.000
Sb 0.828 0.672 0.000
Sb 0.172 0.328 0.000
Bi 0.000 0.000 0.000
Bi 0.500 0.500 0.000
Cu 0.391 0.109 0.500
Cu 0.609 0.891 0.500
Cu 0.891 0.391 0.500
Cu 0.109 0.609 0.500

Calculated values
mass density: 8.49 Mg/m³
crystal system: tetragonal



Calculated relative energies: P 3.5; Q 0.0; R 9.5, given in kJ/mol of atoms



## P
Computed, not measured: an optimized crystal structure of CuBiSb at the PBE level of DFT.

a b c (Å): 3.453 3.453 6.595
angles (deg): 105.18 105.18 90.00
Fractional positions:
Bi 0.031 0.031 0.063
Cu 0.678 0.678 0.357
Sb 0.290 0.290 0.580

Calculated values
mass density: 8.96 Mg/m³
crystal system: tetragonal



## Q
Computed, not measured: an optimized crystal structure of CuBiSb at the PBE level of DFT.

a b c (Å): 4.757 4.757 4.757
angles (deg): 60.00 60.00 60.00
Fractional positions:
Cu 0.250 0.250 0.250
Bi 0.000 0.000 0.000
Sb 0.500 0.500 0.500

Calculated values
mass density: 8.60 Mg/m³
crystal system: cubic



## R
Computed, not measured: an optimized crystal structure of CuBiSb at the PBE level of DFT.

a b c (Å): 6.191 6.191 8.303
angles (deg): 90.00 90.00 90.00
Fractional positions:
Cu 0.051 0.949 0.250
Cu 0.449 0.449 0.000
Cu 0.551 0.551 0.500
Cu 0.949 0.051 0.750
Bi 0.266 0.734 0.750
Bi 0.234 0.234 0.500
Bi 0.734 0.266 0.250
Bi 0.766 0.766 0.000
Sb 0.838 0.838 0.500
Sb 0.162 0.162 0.000
Sb 0.662 0.338 0.750
Sb 0.338 0.662 0.250

Calculated values
mass density: 8.23 Mg/m³
crystal system: tetragonal



## S
Computed, not measured: an optimized crystal structure of CuBiSb at the PBE level of DFT.

a b c (Å): 4.152 4.152 5.003
angles (deg): 90.00 90.00 120.00
Fractional positions:
Bi 0.000 0.000 0.930
Sb 0.667 0.333 0.426
Cu 0.333 0.667 0.644

Calculated values
mass density: 8.76 Mg/m³
crystal system: trigonal



Calculated relative energies: P 8.3; Q 2.0; R 12.1; S 0.0, given in kJ/mol of atoms



## P
Computed, not measured: an optimized crystal structure of Cu2Bi2Sb at the PBE level of DFT.

a b c (Å): 7.245 7.245 4.323
angles (deg): 90.00 90.00 90.00
Fractional positions:
Bi 0.170 0.670 0.500
Bi 0.330 0.170 0.500
Bi 0.670 0.830 0.500
Bi 0.830 0.330 0.500
Sb 0.500 0.500 0.000
Sb 0.000 0.000 0.000
Cu 0.878 0.622 0.000
Cu 0.122 0.378 0.000
Cu 0.622 0.122 0.000
Cu 0.378 0.878 0.000

Calculated values
mass density: 9.76 Mg/m³
crystal system: tetragonal



## Q
Computed, not measured: an optimized crystal structure of Cu2Bi2Sb at the PBE level of DFT.

a b c (Å): 3.465 3.465 10.201
angles (deg): 80.22 80.22 90.00
Fractional positions:
Bi 0.633 0.633 0.734
Bi 0.367 0.367 0.266
Sb 0.000 0.000 0.000
Cu 0.250 0.750 0.500
Cu 0.750 0.250 0.500

Calculated values
mass density: 9.31 Mg/m³
crystal system: tetragonal



## R
Computed, not measured: an optimized crystal structure of Cu2Bi2Sb at the PBE level of DFT.

a b c (Å): 8.580 8.580 3.254
angles (deg): 90.00 90.00 90.00
Fractional positions:
Bi 0.815 0.685 0.000
Bi 0.685 0.185 0.000
Bi 0.185 0.315 0.000
Bi 0.315 0.815 0.000
Sb 0.000 0.000 0.000
Sb 0.500 0.500 0.000
Cu 0.397 0.103 0.500
Cu 0.897 0.397 0.500
Cu 0.603 0.897 0.500
Cu 0.103 0.603 0.500

Calculated values
mass density: 9.24 Mg/m³
crystal system: tetragonal



Calculated relative energies: P 0.0; Q 0.7; R 10.2, given in kJ/mol of atoms



## P
Computed, not measured: an optimized crystal structure of Sc3CuBi at the PBE level of DFT.

a b c (Å): 4.964 4.964 4.964
angles (deg): 90.00 90.00 90.00
Fractional positions:
Bi 0.500 0.500 0.500
Sc 0.000 0.500 0.000
Sc 0.000 0.000 0.500
Sc 0.500 0.000 0.000
Cu 0.000 0.000 0.000

Calculated values
mass density: 5.53 Mg/m³
crystal system: cubic



## Q
Computed, not measured: an optimized crystal structure of Sc3CuBi at the PBE level of DFT.

a b c (Å): 5.430 5.430 5.430
angles (deg): 90.00 90.00 90.00
Site moments in Bohr magnetons follow the coordinates.
Fractional positions:
Sc 0.500 0.000 0.000  0.33
Sc 0.000 0.000 0.500  0.51
Sc 0.000 0.500 0.000  0.42
Bi 0.000 0.000 0.000  0.02
Cu 0.500 0.500 0.500  0.00

Calculated values
mass density: 4.23 Mg/m³
crystal system: cubic



Calculated relative energies: P 0.0; Q 85.7, given in kJ/mol of atoms



## P
Computed, not measured: an optimized crystal structure of CuBiSe3 at the PBE level of DFT.

a b c (Å): 4.715 8.030 8.049
angles (deg): 106.51 90.00 107.07
Fractional positions:
Cu 0.157 0.313 0.882
Cu 0.843 0.687 0.118
Se 0.678 0.357 0.990
Se 0.322 0.643 0.010
Se 0.837 0.674 0.435
Se 0.995 0.990 0.848
Se 0.005 0.010 0.152
Se 0.163 0.326 0.565
Bi 0.642 0.285 0.325
Bi 0.358 0.715 0.675

Calculated values
mass density: 6.08 Mg/m³
crystal system: monoclinic



## Q
Computed, not measured: an optimized crystal structure of CuBiSe3 at the PBE level of DFT.

a b c (Å): 4.834 4.834 4.834
angles (deg): 90.00 90.00 90.00
Fractional positions:
Se 0.500 0.000 0.000
Se 0.000 0.000 0.500
Se 0.000 0.500 0.000
Bi 0.500 0.500 0.500
Cu 0.000 0.000 0.000

Calculated values
mass density: 7.49 Mg/m³
crystal system: cubic



Calculated relative energies: P 0.0; Q 31.7, given in kJ/mol of atoms